[1]
The following is a PBE calculation of a relaxed ReTc2Ag crystal, from the Alexandria database.

Geometry as POSCAR:
```
ReTc2Ag
1.0
-1.985 1.985 3.850
1.985 -1.985 3.850
1.985 1.985 -3.850
Re Tc Ag
1 2 1
Cartesian
0.000 0.000 0.000
1.985 0.000 1.925
0.000 1.985 1.925
0.000 0.000 3.850
```

Values from the calculation:
Energy of formation from the pure elements (eV per atom): 0.487
Space group: I4/mmm
Excess energy over the best structure of this formula in the dataset (meV per atom): 257
Density of states at the Fermi level (states/eV/cell): 3.897

=====

[2]
The following is a PBE calculation of a relaxed ReTcAg2 crystal, from the Alexandria database.

Geometry as POSCAR:
```
ReTcAg2
1.0
4.620 -1.330 0.000
4.620 1.330 0.000
-0.494 0.000 5.258
Re Tc Ag
1 1 2
Cartesian
0.000 0.000 0.000
1.835 0.000 4.283
4.326 0.000 2.709
6.747 0.000 1.561
```

Values from the calculation:
Energy of formation from the pure elements (eV per atom): 0.554
Space group: Cm
Excess energy over the best structure of this formula in the dataset (meV per atom): 347
Density of states at the Fermi level (states/eV/cell): 3.723

=====

[3]
The following is a PBE calculation of a relaxed ReTc2Ag crystal, from the Alexandria database.

Geometry as POSCAR:
```
ReTc2Ag
1.0
-1.479 2.308 4.646
1.479 -2.308 4.646
1.479 2.308 -4.646
Re Tc Ag
1 2 1
Cartesian
0.000 0.000 0.000
1.479 0.000 2.072
0.000 2.308 2.574
0.000 0.000 4.646
```

Values from the calculation:
Energy of formation from the pure elements (eV per atom): 0.557
Space group: Immm
Excess energy over the best structure of this formula in the dataset (meV per atom): 327
Density of states at the Fermi level (states/eV/cell): 4.829